Material: Sr3MgP
Method: DFT, PBEsol
State: relaxed

```
data_Sr3MgP
_chemical_formula_sum 'Sr3 Mg1 P1'
_cell_length_a 5.849
_cell_length_b 5.849
_cell_length_c 5.849
_cell_angle_alpha 90.00
_cell_angle_beta 90.00
_cell_angle_gamma 90.00
_space_group_name_H-M_alt 'P m -3 m'
_space_group_IT_number 221
_space_group_name_Hall '-P 4 2 3'
loop_
_atom_site_label
_atom_site_fract_x
_atom_site_fract_y
_atom_site_fract_z
Sr1 0.000 0.000 0.500
Mg1 0.500 0.500 0.500
P1 0.000 0.000 0.000
```

Computed properties:
Electronic total energy in Ry per atom: -0.224
Excess energy over the best structure of this formula in the dataset in meV per atom: 0
ΔH_f (0 K) in meV per atom: -447.8
Size of the total moment in μB/f.u.: 0.00